Entry from Alexandria: a geometry-optimized NdGa8Ir2 structure (PBE-GGA).

Values from the calculation:
Formation enthalpy at 0 K in eV/atom: -0.053

CIF file:
```
data_NdGa8Ir2
_cell_length_a 5.8571
_cell_length_b 5.8571
_cell_length_c 7.7034
_cell_angle_alpha 90.00
_cell_angle_beta 90.00
_cell_angle_gamma 90.00
_symmetry_space_group_name_H-M 'P 4/m m m'
_symmetry_Int_Tables_number 123
_symmetry_space_group_name_Hall '-P 4 2'
loop_
_atom_site_label
_atom_site_fract_x
_atom_site_fract_y
_atom_site_fract_z
_atom_site_occupancy
Nd1 0.0000 0.0000 0.0000 1
Ga1 0.2549 0.2549 0.3025 1
Ir1 0.0000 0.5000 0.5000 1
```

---

Entry from Alexandria: a geometry-optimized Dy3Ag structure (PBE-GGA).

Values from the calculation:
Formation enthalpy at 0 K in eV/atom: 0.028

CIF file:
```
data_Dy3Ag
_cell_length_a 4.6350
_cell_length_b 4.6350
_cell_length_c 10.1403
_cell_angle_alpha 90.00
_cell_angle_beta 90.00
_cell_angle_gamma 90.00
_symmetry_space_group_name_H-M 'I 4/m m m'
_symmetry_Int_Tables_number 139
_symmetry_space_group_name_Hall '-I 4 2'
loop_
_atom_site_label
_atom_site_fract_x
_atom_site_fract_y
_atom_site_fract_z
_atom_site_occupancy
Dy1 0.0000 0.0000 0.0000 1
Dy2 0.0000 0.5000 0.2500 1
Ag1 0.0000 0.0000 0.5000 1
```

---

Entry from Alexandria: a geometry-optimized Y8Se4S3N structure (PBE-GGA).

Values from the calculation:
Energy relative to the elements, uncorrected in eV per atom: -1.835

CIF file:
```
data_Y8Se4S3N
_cell_length_a 7.8577
_cell_length_b 7.8577
_cell_length_c 19.7284
_cell_angle_alpha 90.00
_cell_angle_beta 90.00
_cell_angle_gamma 120.00
_symmetry_space_group_name_H-M 'R -3 m'
_symmetry_Int_Tables_number 166
_symmetry_space_group_name_Hall '-R 3 2"'
loop_
_atom_site_label
_atom_site_fract_x
_atom_site_fract_y
_atom_site_fract_z
_atom_site_occupancy
Y1 0.0000 0.0000 0.2421 1
Y2 0.0271 0.5135 0.2373 1
Se1 0.0000 0.0000 0.0000 1
Se2 0.0000 0.5000 0.0000 1
S1 0.0000 0.5000 0.5000 1
N1 0.0000 0.0000 0.5000 1
```

---

Entry from Alexandria: a geometry-optimized RbNpPb2Cl8 structure (PBE-GGA).

Values from the calculation:
Energy relative to the elements, uncorrected in eV per atom: -1.472

CIF file:
```
data_RbNpPb2Cl8
_cell_length_a 6.7400
_cell_length_b 9.0608
_cell_length_c 6.8612
_cell_angle_alpha 90.00
_cell_angle_beta 90.85
_cell_angle_gamma 90.00
_symmetry_space_group_name_H-M 'P 1 2/m 1'
_symmetry_Int_Tables_number 10
loop_
_symmetry_equiv_pos_as_xyz
'x,y,z'
'-x,-y,-z'
'-x,y,-z'
'x,-y,z'
loop_
_atom_site_label
_atom_site_fract_x
_atom_site_fract_y
_atom_site_fract_z
_atom_site_occupancy
Rb1 0.0000 0.0000 0.0000 1
Np1 0.0000 0.5000 0.0000 1
Pb1 0.5000 0.2481 0.5000 1
Cl1 0.2395 0.2865 0.1582 1
Cl2 0.2493 0.5000 0.6815 1
Cl3 0.2763 0.0000 0.6231 1
```

---

Entry from Alexandria: a geometry-optimized Pm3Ag2Pt structure (PBE-GGA).

Values from the calculation:
Formation enthalpy at 0 K in eV/atom: -0.558

CIF file:
```
data_Pm3Ag2Pt
_cell_length_a 5.1884
_cell_length_b 5.1884
_cell_length_c 6.3713
_cell_angle_alpha 90.00
_cell_angle_beta 90.00
_cell_angle_gamma 120.00
_symmetry_space_group_name_H-M 'P -3 m 1'
_symmetry_Int_Tables_number 164
_symmetry_space_group_name_Hall '-P 3 2"'
loop_
_atom_site_label
_atom_site_fract_x
_atom_site_fract_y
_atom_site_fract_z
_atom_site_occupancy
Pm1 0.0000 0.0000 0.0000 1
Pm2 0.3333 0.6667 0.6455 1
Ag1 0.3333 0.6667 0.1361 1
Pt1 0.0000 0.0000 0.5000 1
```

---

Entry from Alexandria: a geometry-optimized Lu6AgTe2 structure (PBE-GGA).

Values from the calculation:
Energy relative to the elements, uncorrected in eV per atom: -0.615

CIF file:
```
data_Lu6AgTe2
_cell_length_a 21.4182
_cell_length_b 3.9921
_cell_length_c 11.3720
_cell_angle_alpha 90.00
_cell_angle_beta 90.00
_cell_angle_gamma 90.00
_symmetry_space_group_name_H-M 'P n m a'
_symmetry_Int_Tables_number 62
loop_
_symmetry_equiv_pos_as_xyz
'x,y,z'
'-x,-y,-z'
'-x+1/2,-y,z+1/2'
'x+1/2,y,-z+1/2'
'x+1/2,-y+1/2,-z+1/2'
'-x+1/2,y+1/2,z+1/2'
'-x,y+1/2,-z'
'x,-y+1/2,z'
loop_
_atom_site_label
_atom_site_fract_x
_atom_site_fract_y
_atom_site_fract_z
_atom_site_occupancy
Lu1 0.0088 0.2500 0.1108 1
Lu2 0.0285 0.7500 0.3782 1
Lu3 0.1083 0.2500 0.8169 1
Lu4 0.1397 0.7500 0.0614 1
Lu5 0.1601 0.2500 0.5291 1
Lu6 0.2323 0.7500 0.7404 1
Ag1 0.0760 0.7500 0.6337 1
Te1 0.1271 0.2500 0.2685 1
Te2 0.2362 0.2500 0.9570 1
```

---

Entry from Alexandria: a geometry-optimized ErTlP2O6 structure (PBE-GGA).

Values from the calculation:
Energy relative to the elements, uncorrected in eV per atom: -2.377

CIF file:
```
data_ErTlP2O6
_cell_length_a 7.6656
_cell_length_b 11.0571
_cell_length_c 8.3811
_cell_angle_alpha 90.00
_cell_angle_beta 95.29
_cell_angle_gamma 90.00
_symmetry_space_group_name_H-M 'C 1 2/c 1'
_symmetry_Int_Tables_number 15
loop_
_symmetry_equiv_pos_as_xyz
'x,y,z'
'-x,-y,-z'
'-x,y,-z+1/2'
'x,-y,z+1/2'
'x+1/2,y+1/2,z'
'-x+1/2,-y+1/2,-z'
'-x+1/2,y+1/2,-z+1/2'
'x+1/2,-y+1/2,z+1/2'
loop_
_atom_site_label
_atom_site_fract_x
_atom_site_fract_y
_atom_site_fract_z
_atom_site_occupancy
Er1 0.0000 0.1646 0.2500 1
Tl1 0.0000 0.4184 0.7500 1
P1 0.1214 0.1318 0.6847 1
O1 0.0686 0.1706 0.5118 1
O2 0.1726 0.0037 0.2017 1
O3 0.2323 0.2870 0.2340 1
```

---

Entry from Alexandria: a geometry-optimized LiLaGa2 structure (PBE-GGA).

Values from the calculation:
Formation enthalpy at 0 K in eV/atom: -0.416

CIF file:
```
data_LiLaGa2
_cell_length_a 3.4414
_cell_length_b 3.4414
_cell_length_c 7.1052
_cell_angle_alpha 90.00
_cell_angle_beta 90.00
_cell_angle_gamma 90.00
_symmetry_space_group_name_H-M 'P 4/m m m'
_symmetry_Int_Tables_number 123
_symmetry_space_group_name_Hall '-P 4 2'
loop_
_atom_site_label
_atom_site_fract_x
_atom_site_fract_y
_atom_site_fract_z
_atom_site_occupancy
Li1 0.0000 0.0000 0.0000 1
La1 0.0000 0.0000 0.5000 1
Ga1 0.5000 0.5000 0.1924 1
```

---

Entry from Alexandria: a geometry-optimized Pr2NdTc structure (PBE-GGA).

Values from the calculation:
Formation enthalpy at 0 K in eV/atom: 0.334

CIF file:
```
data_Pr2NdTc
_cell_length_a 5.6685
_cell_length_b 5.6685
_cell_length_c 11.8473
_cell_angle_alpha 90.00
_cell_angle_beta 90.00
_cell_angle_gamma 120.00
_symmetry_space_group_name_H-M 'R -3 m'
_symmetry_Int_Tables_number 166
_symmetry_space_group_name_Hall '-R 3 2"'
loop_
_atom_site_label
_atom_site_fract_x
_atom_site_fract_y
_atom_site_fract_z
_atom_site_occupancy
Pr1 0.0000 0.0000 0.2339 1
Nd1 0.0000 0.0000 0.5000 1
Tc1 0.0000 0.0000 0.0000 1
```

---

Entry from Alexandria: a geometry-optimized InSb2As2 structure (PBE-GGA).

Values from the calculation:
Energy relative to the elements, uncorrected in eV per atom: 0.166

CIF file:
```
data_InSb2As2
_cell_length_a 5.3907
_cell_length_b 5.3907
_cell_length_c 9.9212
_cell_angle_alpha 90.00
_cell_angle_beta 90.00
_cell_angle_gamma 90.00
_symmetry_space_group_name_H-M 'I 4/m m m'
_symmetry_Int_Tables_number 139
_symmetry_space_group_name_Hall '-I 4 2'
loop_
_atom_site_label
_atom_site_fract_x
_atom_site_fract_y
_atom_site_fract_z
_atom_site_occupancy
In1 0.0000 0.0000 0.0000 1
Sb1 0.0000 0.0000 0.3432 1
As1 0.0000 0.5000 0.2500 1
```

---

Entry from Alexandria: a geometry-optimized BaAgCl3 structure (PBE-GGA).

Values from the calculation:
Energy relative to the elements, uncorrected in eV per atom: -1.490

CIF file:
```
data_BaAgCl3
_cell_length_a 5.2328
_cell_length_b 5.2328
_cell_length_c 5.2328
_cell_angle_alpha 90.00
_cell_angle_beta 90.00
_cell_angle_gamma 90.00
_symmetry_space_group_name_H-M 'P m -3 m'
_symmetry_Int_Tables_number 221
_symmetry_space_group_name_Hall '-P 4 2 3'
loop_
_atom_site_label
_atom_site_fract_x
_atom_site_fract_y
_atom_site_fract_z
_atom_site_occupancy
Ba1 0.0000 0.0000 0.0000 1
Ag1 0.5000 0.5000 0.5000 1
Cl1 0.0000 0.5000 0.5000 1
```

---

Entry from Alexandria: a geometry-optimized Ba3OsC structure (PBE-GGA).

Values from the calculation:
Formation enthalpy at 0 K in eV/atom: 1.179

CIF file:
```
data_Ba3OsC
_cell_length_a 5.4978
_cell_length_b 5.4978
_cell_length_c 5.4978
_cell_angle_alpha 90.00
_cell_angle_beta 90.00
_cell_angle_gamma 90.00
_symmetry_space_group_name_H-M 'P m -3 m'
_symmetry_Int_Tables_number 221
_symmetry_space_group_name_Hall '-P 4 2 3'
loop_
_atom_site_label
_atom_site_fract_x
_atom_site_fract_y
_atom_site_fract_z
_atom_site_occupancy
Ba1 0.0000 0.0000 0.5000 1
Os1 0.5000 0.5000 0.5000 1
C1 0.0000 0.0000 0.0000 1
```

---

Entry from Alexandria: a geometry-optimized SiPtRh2 structure (PBE-GGA).

Values from the calculation:
Energy relative to the elements, uncorrected in eV per atom: -0.202

CIF file:
```
data_SiPtRh2
_cell_length_a 2.7703
_cell_length_b 4.5111
_cell_length_c 4.5889
_cell_angle_alpha 90.00
_cell_angle_beta 90.00
_cell_angle_gamma 90.00
_symmetry_space_group_name_H-M 'P m m m'
_symmetry_Int_Tables_number 47
loop_
_symmetry_equiv_pos_as_xyz
'x,y,z'
'-x,-y,-z'
'-x,-y,z'
'x,y,-z'
'x,-y,-z'
'-x,y,z'
'-x,y,-z'
'x,-y,z'
loop_
_atom_site_label
_atom_site_fract_x
_atom_site_fract_y
_atom_site_fract_z
_atom_site_occupancy
Si1 0.0000 0.0000 0.0000 1
Pt1 0.5000 0.0000 0.5000 1
Rh1 0.0000 0.5000 0.5000 1
Rh2 0.5000 0.5000 0.0000 1
```

---

Entry from Alexandria: a geometry-optimized TbCePu2 structure (PBE-GGA).

Values from the calculation:
Formation enthalpy at 0 K in eV/atom: 0.251

CIF file:
```
data_TbCePu2
_cell_length_a 5.2924
_cell_length_b 5.2924
_cell_length_c 13.2285
_cell_angle_alpha 90.00
_cell_angle_beta 90.00
_cell_angle_gamma 120.00
_symmetry_space_group_name_H-M 'R 3 m'
_symmetry_Int_Tables_number 160
_symmetry_space_group_name_Hall 'R 3 -2"'
loop_
_atom_site_label
_atom_site_fract_x
_atom_site_fract_y
_atom_site_fract_z
_atom_site_occupancy
Tb1 0.0000 0.0000 0.0000 1
Ce1 0.0000 0.0000 0.7506 1
Pu1 0.0000 0.0000 0.2492 1
Pu2 0.0000 0.0000 0.4462 1
```

---

Entry from Alexandria: a geometry-optimized YGa3CuPd structure (PBE-GGA).

Values from the calculation:
Formation enthalpy at 0 K in eV/atom: -0.369

CIF file:
```
data_YGa3CuPd
_cell_length_a 5.9242
_cell_length_b 12.3553
_cell_length_c 5.9833
_cell_angle_alpha 90.00
_cell_angle_beta 90.00
_cell_angle_gamma 90.00
_symmetry_space_group_name_H-M 'C m c m'
_symmetry_Int_Tables_number 63
_symmetry_space_group_name_Hall '-C 2c 2'
loop_
_atom_site_label
_atom_site_fract_x
_atom_site_fract_y
_atom_site_fract_z
_atom_site_occupancy
Y1 0.0000 0.2099 0.2500 1
Ga1 0.0000 0.3574 0.7500 1
Ga2 0.2119 0.0000 0.0000 1
Cu1 0.0000 0.4292 0.2500 1
Pd1 0.0000 0.1514 0.7500 1
```

---

Entry from Alexandria: a geometry-optimized CdP2W structure (PBE-GGA).

Values from the calculation:
Formation enthalpy at 0 K in eV/atom: 0.250

CIF file:
```
data_CdP2W
_cell_length_a 5.8379
_cell_length_b 5.8379
_cell_length_c 10.9188
_cell_angle_alpha 90.00
_cell_angle_beta 90.00
_cell_angle_gamma 90.00
_symmetry_space_group_name_H-M 'I -4 2 d'
_symmetry_Int_Tables_number 122
_symmetry_space_group_name_Hall 'I -4 2bw'
loop_
_atom_site_label
_atom_site_fract_x
_atom_site_fract_y
_atom_site_fract_z
_atom_site_occupancy
Cd1 0.0000 0.0000 0.0000 1
P1 0.2056 0.2500 0.6250 1
W1 0.0000 0.0000 0.5000 1
```

---

Entry from Alexandria: a geometry-optimized SnMoPt3 structure (PBE-GGA).

Values from the calculation:
Formation enthalpy at 0 K in eV/atom: 0.794

CIF file:
```
data_SnMoPt3
_cell_length_a 4.8746
_cell_length_b 4.8746
_cell_length_c 4.8746
_cell_angle_alpha 90.00
_cell_angle_beta 90.00
_cell_angle_gamma 90.00
_symmetry_space_group_name_H-M 'P m -3 m'
_symmetry_Int_Tables_number 221
_symmetry_space_group_name_Hall '-P 4 2 3'
loop_
_atom_site_label
_atom_site_fract_x
_atom_site_fract_y
_atom_site_fract_z
_atom_site_occupancy
Sn1 0.0000 0.0000 0.0000 1
Mo1 0.5000 0.5000 0.5000 1
Pt1 0.0000 0.5000 0.5000 1
```

---

Entry from Alexandria: a geometry-optimized La7Ho2Er3 structure (PBE-GGA).

Values from the calculation:
Formation enthalpy at 0 K in eV/atom: 0.068

CIF file:
```
data_La7Ho2Er3
_cell_length_a 6.5168
_cell_length_b 3.5702
_cell_length_c 17.7321
_cell_angle_alpha 90.00
_cell_angle_beta 95.58
_cell_angle_gamma 90.00
_symmetry_space_group_name_H-M 'P 1 2/m 1'
_symmetry_Int_Tables_number 10
loop_
_symmetry_equiv_pos_as_xyz
'x,y,z'
'-x,-y,-z'
'-x,y,-z'
'x,-y,z'
loop_
_atom_site_label
_atom_site_fract_x
_atom_site_fract_y
_atom_site_fract_z
_atom_site_occupancy
La1 0.0000 0.0000 0.0000 1
La2 0.2268 0.5000 0.1733 1
La3 0.2622 0.5000 0.4908 1
La4 0.2771 0.0000 0.8325 1
Ho1 0.0583 0.5000 0.6698 1
Er1 0.4584 0.0000 0.3381 1
Er2 0.5000 0.5000 0.0000 1
```

---

Entry from Alexandria: a geometry-optimized YCoW structure (PBE-GGA).

Values from the calculation:
Formation enthalpy at 0 K in eV/atom: 1.837

CIF file:
```
data_YCoW
_cell_length_a 6.3707
_cell_length_b 6.3707
_cell_length_c 6.3707
_cell_angle_alpha 90.00
_cell_angle_beta 90.00
_cell_angle_gamma 90.00
_symmetry_space_group_name_H-M 'F -4 3 m'
_symmetry_Int_Tables_number 216
_symmetry_space_group_name_Hall 'F -4 2 3'
loop_
_atom_site_label
_atom_site_fract_x
_atom_site_fract_y
_atom_site_fract_z
_atom_site_occupancy
Y1 0.0000 0.0000 0.0000 1
Co1 0.2500 0.2500 0.2500 1
W1 0.2500 0.2500 0.7500 1
```

---

Entry from Alexandria: a geometry-optimized Pm3Cd5S12 structure (PBE-GGA).

Values from the calculation:
Energy relative to the elements, uncorrected in eV per atom: -0.798

CIF file:
```
data_Pm3Cd5S12
_cell_length_a 15.8373
_cell_length_b 15.8373
_cell_length_c 15.8373
_cell_angle_alpha 90.00
_cell_angle_beta 90.00
_cell_angle_gamma 90.00
_symmetry_space_group_name_H-M 'I a -3 d'
_symmetry_Int_Tables_number 230
_symmetry_space_group_name_Hall '-I 4bd 2c 3'
loop_
_atom_site_label
_atom_site_fract_x
_atom_site_fract_y
_atom_site_fract_z
_atom_site_occupancy
Pm1 0.0000 0.2500 0.1250 1
Cd1 0.0000 0.0000 0.0000 1
Cd2 0.0000 0.2500 0.3750 1
S1 0.0184 0.0692 0.6547 1
```